# 1
AcReAs | the Alexandria database | PBE | optimized geometry; total magnetization = 0.00 μB/f.u.; symmetry = No. 107; polymorph energy (0 for the lowest one) = 130.6 meV/atom; mass density = 12249 kg/m³; total energy = -7.08 eV per atom; DOS(E_F) = 2.97 states/eV per cell; energy of formation from the pure elements = -0.01 eV per atom
1.0
-1.867 -2.804 0.292
2.343 -1.738 -1.710
2.446 1.001 5.677
Re Ac As
1 1 1
direct
0.299 0.299 0.599
0.994 0.994 0.989
0.706 0.706 0.412

***

# 2
Be2PtF | the Alexandria database | PBE | optimized geometry; total magnetization = 0.00 μB/f.u.; symmetry = No. 4; polymorph energy (0 for the lowest one) = 55.2 meV/atom; mass density = 8570 kg/m³; total energy = -5.24 eV per atom; DOS(E_F) = 1.18 states/eV per cell; uncorrected formation energy = -1.40 eV per atom
1.0
-1.784 0.352 -2.047
-1.466 -3.698 0.643
-5.415 3.063 5.269
Be Pt F
4 2 2
direct
0.501 0.074 0.118
0.499 0.574 0.882
0.498 0.538 0.371
0.502 0.038 0.629
0.998 0.075 0.863
0.002 0.575 0.137
0.699 0.252 0.482
0.301 0.752 0.518

***

# 3
NaCd8Ag6 | the Alexandria database | PBE | optimized geometry; total magnetization = 0.00 μB/f.u.; symmetry = No. 148; mass density = 7791 kg/m³; total energy = -1.73 eV per atom; DOS(E_F) = 6.24 states/eV per cell; energy of formation from the pure elements = -0.01 eV per atom
1.0
6.951 0.220 2.606
1.880 6.695 2.606
0.281 0.220 7.418
Cd Ag Na
8 6 1
direct
0.206 0.876 0.554
0.794 0.124 0.446
0.554 0.206 0.876
0.124 0.446 0.794
0.446 0.794 0.124
0.876 0.554 0.206
0.654 0.654 0.654
0.346 0.346 0.346
0.389 0.039 0.713
0.287 0.611 0.961
0.713 0.389 0.039
0.611 0.961 0.287
0.961 0.287 0.611
0.039 0.713 0.389
0.000 0.000 0.000

***

# 4
Th4Ge2Au | the Alexandria database | PBE | optimized geometry; total magnetization = 0.00 μB/f.u.; symmetry = No. 122; mass density = 11070 kg/m³; total energy = -6.61 eV per atom; DOS(E_F) = 13.45 states/eV per cell; energy of formation from the pure elements = -0.58 eV per atom
1.0
-3.788 -5.126 4.688
1.930 -3.756 -6.691
6.515 2.687 3.596
Th Ge Au
8 4 2
direct
0.739 0.131 0.750
0.240 0.132 0.750
0.869 0.618 0.608
0.868 0.619 0.108
0.381 0.489 0.250
0.511 0.760 0.892
0.382 0.990 0.250
0.010 0.261 0.392
0.503 0.375 0.628
0.747 0.875 0.372
0.625 0.252 0.127
0.125 0.498 0.873
0.000 0.000 0.000
0.250 0.750 0.500

***

# 5
BaGa3S | the Alexandria database | PBE | optimized geometry; total magnetization = 0.00 μB/f.u.; symmetry = No. 221; polymorph energy (0 for the lowest one) = 1102.4 meV/atom; mass density = 2820 kg/m³; total energy = -1.95 eV per atom; DOS(E_F) = 5.26 states/eV per cell; uncorrected formation energy = 1.07 eV per atom
1.0
-3.754 -4.757 -0.219
4.566 -3.516 -1.886
1.353 -1.332 5.759
S Ga Ba
1 3 1
direct
0.500 0.500 0.500
0.500 0.000 0.000
0.000 0.500 0.000
0.000 0.000 0.500
0.000 0.000 0.000

***

# 6
AcMg5Cd3 | the Alexandria database | PBE | optimized geometry; total magnetization = 0.00 μB/f.u.; symmetry = No. 63; mass density = 4849 kg/m³; total energy = -1.76 eV per atom; DOS(E_F) = 9.50 states/eV per cell; energy of formation from the pure elements = -0.11 eV per atom
1.0
4.408 0.000 0.000
-2.204 7.512 0.000
0.000 0.000 14.184
Mg Ac Cd
10 2 6
direct
0.440 0.880 0.355
0.804 0.609 0.055
0.560 0.120 0.645
0.000 0.000 0.500
0.804 0.609 0.445
0.560 0.120 0.855
0.440 0.880 0.145
0.000 0.000 0.000
0.196 0.391 0.945
0.196 0.391 0.555
0.835 0.670 0.750
0.165 0.330 0.250
0.384 0.768 0.564
0.858 0.717 0.250
0.616 0.232 0.064
0.142 0.283 0.750
0.616 0.232 0.436
0.384 0.768 0.936